Record 1
This record from OQMD via LeMat-Bulk describes crystalline YMgCd2 at its relaxed geometry. The functional is PBE-GGA.

Computed properties:
Total magnetization = 0.0 μB/f.u.
Electronic total energy = -2.459 eV/atom

a b c (Å): 5.1305 5.1305 8.4984
angles (deg): 90.00 90.00 120.00
Closest atoms and distances in Å follow each position.
Space group P6_3/mmc (No. 194)
Asymmetric unit:
Y 0.0000 0.0000 0.2500 (multiplicity 2)  3 Mg 2.96, 6 Cd 3.32
Mg 0.3333 0.6667 0.2500 (multiplicity 2)  2 Cd 2.76, 3 Y 2.96
Cd 0.3333 0.6667 0.5748 (multiplicity 4)  1 Mg 2.76, 1 Cd 2.98

---

Record 2
This record from OQMD via LeMat-Bulk describes crystalline HgAu2I2Br2 at its relaxed geometry. The functional is PBE-GGA.

Computed properties:
Energy relative to the lowest polymorph listed for this composition = 0 meV/atom

a b c (Å): 8.8963 12.3431 6.2715
angles (deg): 90.00 134.40 90.00
Closest atoms and distances in Å follow each position.
Space group C2 (No. 5)
Asymmetric unit:
Hg 0.0000 0.0000 0.0000 (multiplicity 2)  2 Br 2.63
Au 0.0000 0.3131 0.5000 (multiplicity 2)  2 I 2.59
Au 0.0000 0.4666 0.0000 (multiplicity 2)  2 Br 2.71, 2 I 2.82
I 0.2068 0.8353 0.9258 (multiplicity 4)  2 Au 2.59-2.82
Br 0.2402 0.6001 0.4811 (multiplicity 4)  1 Hg 2.63, 1 Au 2.71

---

Record 3
This record from OQMD via LeMat-Bulk describes crystalline DyNb2As3 at its relaxed geometry. The functional is PBE-GGA.

Computed properties:
Total magnetization = 0.1 μB/f.u.
Electronic total energy = -7.141 eV/atom

a b c (Å): 3.9753 3.9753 8.9133
angles (deg): 90.00 90.00 120.00
Closest atoms and distances in Å follow each position.
Space group P-3m1 (No. 164)
Asymmetric unit:
Dy 0.0000 0.0000 0.0000 (multiplicity 1)  6 As 2.86
Nb 0.3333 0.6667 0.3658 (multiplicity 2)  6 As 2.59-2.77
As 0.0000 0.0000 0.5000 (multiplicity 1)  6 Nb 2.59
As 0.3333 0.6667 0.8081 (multiplicity 2)  3 Nb 2.77, 3 Dy 2.86

---

Record 4
This record from OQMD via LeMat-Bulk describes crystalline MgCdAu2 at its relaxed geometry. The functional is PBE-GGA.

Computed properties:
Electronic total energy = -2.537 eV/atom

a b c (Å): 4.7412 6.1972 10.2213
angles (deg): 90.00 90.00 90.00
Closest atoms and distances in Å follow each position.
Space group Amm2 (No. 38)
Asymmetric unit:
Mg 0.0000 0.2383 0.0000 (multiplicity 4)  6 Au 2.86-3.01, 1 Mg 2.95, 4 Cd 2.98-3.02
Cd 0.0000 0.0000 0.2528 (multiplicity 2)  8 Au 2.94-3.10, 4 Mg 2.98-3.00
Cd 0.5000 0.0000 0.5925 (multiplicity 2)  8 Au 2.83-3.10, 4 Mg 3.02
Au 0.0000 0.0000 0.7436 (multiplicity 2)  4 Cd 2.83-3.10, 4 Mg 2.97-3.01, 4 Au 3.03
Au 0.5000 0.0000 0.0830 (multiplicity 2)  4 Au 2.91-3.07, 4 Mg 2.92, 4 Cd 2.94-3.10
Au 0.5000 0.2445 0.3440 (multiplicity 4)  2 Mg 2.86, 6 Au 2.91-3.17, 4 Cd 2.96-3.02

---

Record 5
This record from OQMD via LeMat-Bulk describes crystalline ErGaHg at its relaxed geometry. The functional is PBE-GGA.

Computed properties:
Total magnetization = 0.0 μB/f.u.
Electronic total energy = -2.702 eV/atom

a b c (Å): 6.8703 6.8703 6.8703
angles (deg): 90.00 90.00 90.00
Closest atoms and distances in Å follow each position.
Space group F-43m (No. 216)
Asymmetric unit:
Er 0.0000 0.0000 0.0000 (multiplicity 4)  4 Hg 2.97, 4 Ga 2.97
Ga 0.2500 0.2500 0.7500 (multiplicity 4)  4 Er 2.97
Hg 0.2500 0.2500 0.2500 (multiplicity 4)  4 Er 2.97

---

Record 6
This record from OQMD via LeMat-Bulk describes crystalline CdO4 at its relaxed geometry. The functional is PBE-GGA.

Computed properties:
Electronic total energy = -4.148 eV/atom

a b c (Å): 3.7069 5.4841 5.8321
angles (deg): 90.00 109.06 90.00
Closest atoms and distances in Å follow each position.
Space group P2/c (No. 13)
Asymmetric unit:
Cd 0.0000 0.1528 0.2500 (multiplicity 2)  6 O 2.24-2.49
O 0.3049 0.4415 0.9124 (multiplicity 4)  1 O 1.38
O 0.3213 0.2012 0.9880 (multiplicity 4)  1 O 1.38